Entry 1:
# TiCr2Fe | the Alexandria database | GGA-PBE | relaxed
data_TiCr2Fe
_chemical_formula_sum 'Ti4 Cr8 Fe4'
_cell_length_a 6.630
_cell_length_b 6.630
_cell_length_c 4.808
_cell_angle_alpha 90.00
_cell_angle_beta 90.00
_cell_angle_gamma 90.00
_space_group_name_H-M_alt 'I -4 2 d'
_space_group_IT_number 122
_space_group_name_Hall 'I -4 2bw'
loop_
_atom_site_label
_atom_site_fract_x
_atom_site_fract_y
_atom_site_fract_z
_atom_site_occupancy
Ti1 0.000 0.000 0.000 1
Cr1 0.214 0.750 0.625 1
Fe1 0.000 0.000 0.500 1
# ΔH_f (0 K), meV/atom: 474

***

Entry 2:
# Pr3In | the Alexandria database | GGA-PBE | relaxed
data_Pr3In
_chemical_formula_sum 'Pr3 In1'
_cell_length_a 5.023
_cell_length_b 5.023
_cell_length_c 5.023
_cell_angle_alpha 90.00
_cell_angle_beta 90.00
_cell_angle_gamma 90.00
_space_group_name_H-M_alt 'P m -3 m'
_space_group_IT_number 221
_space_group_name_Hall '-P 4 2 3'
loop_
_atom_site_label
_atom_site_fract_x
_atom_site_fract_y
_atom_site_fract_z
_atom_site_occupancy
Pr1 0.000 0.000 0.500 1
In1 0.500 0.500 0.500 1
# ΔH_f (0 K), meV/atom: -276

***

Entry 3:
Here is crystalline SmYRhBr at its relaxed geometry from the Alexandria database. Energies are from GGA-PBE.

CIF file:
```
data_SmYRhBr
_chemical_formula_sum 'Sm3 Y3 Rh3 Br3'
_cell_length_a 4.0354
_cell_length_b 4.0354
_cell_length_c 23.3372
_cell_angle_alpha 90.00
_cell_angle_beta 90.00
_cell_angle_gamma 120.00
_space_group_name_H-M_alt 'R 3 m'
_space_group_IT_number 160
_space_group_name_Hall 'R 3 -2"'
loop_
_atom_site_label
_atom_site_fract_x
_atom_site_fract_y
_atom_site_fract_z
_atom_site_occupancy
Sm1 0.0000 0.0000 0.0000 1
Y1 0.0000 0.0000 0.2050 1
Rh1 0.0000 0.0000 0.6019 1
Br1 0.0000 0.0000 0.7746 1
```

***

Entry 4:
Here is crystalline TeBrO2 at its relaxed geometry from the Alexandria database. Energies are from GGA-PBE.

CIF file:
```
data_TeBrO2
_chemical_formula_sum 'Te4 Br4 O8'
_cell_length_a 6.471
_cell_length_b 6.471
_cell_length_c 9.160
_cell_angle_alpha 90.00
_cell_angle_beta 90.00
_cell_angle_gamma 90.00
_space_group_name_H-M_alt 'I -4 2 d'
_space_group_IT_number 122
_space_group_name_Hall 'I -4 2bw'
loop_
_atom_site_label
_atom_site_fract_x
_atom_site_fract_y
_atom_site_fract_z
_atom_site_occupancy
Te1 0.000 0.000 0.000 1
Br1 0.000 0.000 0.500 1
O1 0.001 0.250 0.125 1
```

***

Entry 5:
Here is crystalline CrTeW2 at its relaxed geometry from the Alexandria database. Energies are from GGA-PBE.

CIF file:
```
data_CrTeW2
_chemical_formula_sum 'Cr1 Te1 W2'
_cell_length_a 3.194
_cell_length_b 3.194
_cell_length_c 6.446
_cell_angle_alpha 90.00
_cell_angle_beta 90.00
_cell_angle_gamma 90.00
_space_group_name_H-M_alt 'P 4 m m'
_space_group_IT_number 99
_space_group_name_Hall 'P 4 -2'
loop_
_atom_site_label
_atom_site_fract_x
_atom_site_fract_y
_atom_site_fract_z
_atom_site_occupancy
Cr1 0.000 0.000 0.000 1
Te1 0.500 0.500 0.266 1
W1 0.000 0.000 0.538 1
W2 0.500 0.500 0.795 1
```

***

Entry 6:
# LaPr4Sm2Dy2 | the Alexandria database | GGA-PBE | relaxed
data_LaPr4Sm2Dy2
_chemical_formula_sum 'La2 Pr8 Sm4 Dy4'
_cell_length_a 15.542
_cell_length_b 5.185
_cell_length_c 8.179
_cell_angle_alpha 90.00
_cell_angle_beta 108.38
_cell_angle_gamma 90.00
_space_group_name_H-M_alt 'C 1 2/m 1'
_space_group_IT_number 12
_space_group_name_Hall '-C 2y'
loop_
_atom_site_label
_atom_site_fract_x
_atom_site_fract_y
_atom_site_fract_z
_atom_site_occupancy
La1 0.000 0.000 0.000 1
Pr1 0.055 0.500 0.332 1
Pr2 0.223 0.000 0.330 1
Sm1 0.112 0.000 0.667 1
Dy1 0.169 0.500 0.998 1
# ΔH_f (0 K), meV/atom: 19

***

Entry 7:
# ZnCdIn2 | the Alexandria database | GGA-PBE | relaxed
data_ZnCdIn2
_chemical_formula_sum 'Zn2 Cd2 In4'
_cell_length_a 4.393
_cell_length_b 4.611
_cell_length_c 9.169
_cell_angle_alpha 90.00
_cell_angle_beta 90.00
_cell_angle_gamma 90.00
_space_group_name_H-M_alt 'C m m 2'
_space_group_IT_number 35
_space_group_name_Hall 'C 2 -2'
loop_
_atom_site_label
_atom_site_fract_x
_atom_site_fract_y
_atom_site_fract_z
_atom_site_occupancy
Zn1 0.000 0.000 0.000 1
Cd1 0.000 0.500 0.793 1
In1 0.000 0.000 0.524 1
In2 0.000 0.500 0.229 1
# ΔH_f (0 K), meV/atom: 67

***

Entry 8:
Here is crystalline SnTe8Mo4 at its relaxed geometry from the Alexandria database. Energies are from GGA-PBE.

CIF file:
```
data_SnTe8Mo4
_chemical_formula_sum 'Sn3 Te24 Mo12'
_cell_length_a 7.1001
_cell_length_b 7.1001
_cell_length_c 25.8017
_cell_angle_alpha 90.00
_cell_angle_beta 90.00
_cell_angle_gamma 120.00
_space_group_name_H-M_alt 'R -3 m'
_space_group_IT_number 166
_space_group_name_Hall '-R 3 2"'
loop_
_atom_site_label
_atom_site_fract_x
_atom_site_fract_y
_atom_site_fract_z
_atom_site_occupancy
Sn1 0.0000 0.0000 0.0000 1
Te1 0.0000 0.0000 0.2384 1
Te2 0.9997 0.4999 0.2382 1
Mo1 0.0000 0.0000 0.5000 1
Mo2 0.0000 0.5000 0.5000 1
```

***

Entry 9:
# CePuGe2 | the Alexandria database | GGA-PBE | relaxed
data_CePuGe2
_chemical_formula_sum 'Ce1 Pu1 Ge2'
_cell_length_a 3.297
_cell_length_b 3.297
_cell_length_c 8.247
_cell_angle_alpha 90.00
_cell_angle_beta 90.00
_cell_angle_gamma 90.00
_space_group_name_H-M_alt 'P 4/m m m'
_space_group_IT_number 123
_space_group_name_Hall '-P 4 2'
loop_
_atom_site_label
_atom_site_fract_x
_atom_site_fract_y
_atom_site_fract_z
_atom_site_occupancy
Ce1 0.000 0.000 0.000 1
Pu1 0.000 0.000 0.500 1
Ge1 0.500 0.500 0.253 1
# ΔH_f (0 K), meV/atom: -531

***

Entry 10:
# NaMgFePb2 | the Alexandria database | GGA-PBE | relaxed
data_NaMgFePb2
_chemical_formula_sum 'Na1 Mg1 Fe1 Pb2'
_cell_length_a 5.428
_cell_length_b 5.428
_cell_length_c 5.124
_cell_angle_alpha 90.00
_cell_angle_beta 90.00
_cell_angle_gamma 90.00
_space_group_name_H-M_alt 'P 4/m m m'
_space_group_IT_number 123
_space_group_name_Hall '-P 4 2'
loop_
_atom_site_label
_atom_site_fract_x
_atom_site_fract_y
_atom_site_fract_z
_atom_site_occupancy
Na1 0.000 0.000 0.000 1
Mg1 0.000 0.000 0.500 1
Fe1 0.500 0.500 0.500 1
Pb1 0.000 0.500 0.000 1
# ΔH_f (0 K), meV/atom: 1124

***

We obtain energy values of -134.8 -18.2 -73.3 -64.3 -36.7 -85.0 -14.8 -217.4 -31.6 -13.2 eV per cell for the records listed above, in that order.
We obtain magnetization values of 0.00 0.00 0.00 0.56 0.00 0.00 0.00 0.00 5.93 3.24 μB/f.u. for the records listed above, in that order.